# Na2CuIr | Alexandria | PBE | optimized geometry
data_Na2CuIr
_chemical_formula_sum 'Na2 Cu1 Ir1'
_space_group_name_H-M_alt 'P 1'
_space_group_IT_number 1
_cell_length_a 4.6536
_cell_length_b 4.6536
_cell_length_c 4.6536
_cell_angle_alpha 60.00
_cell_angle_beta 60.00
_cell_angle_gamma 60.00
loop_
_space_group_symop_operation_xyz
'x,y,z'
loop_
_atom_site_label
_atom_site_type_symbol
_atom_site_fract_x
_atom_site_fract_y
_atom_site_fract_z
Na1 Na 0.2500 0.2500 0.2500
Na2 Na 0.7500 0.7500 0.7500
Cu1 Cu 0.0000 0.0000 0.0000
Ir1 Ir 0.5000 0.5000 0.5000
# SG: No. 225
# E above lowest polymorph: 2.40 kJ per mole of atoms
# DFT formation energy: 308 kJ/mol of formula units

---

# AlV2H4 | Alexandria | PBE | optimized geometry
data_AlV2H4
_chemical_formula_sum 'Al1 V2 H4'
_space_group_name_H-M_alt 'P 1'
_space_group_IT_number 1
_cell_length_a 5.2770
_cell_length_b 5.2770
_cell_length_c 5.2770
_cell_angle_alpha 141.50
_cell_angle_beta 141.50
_cell_angle_gamma 55.58
loop_
_space_group_symop_operation_xyz
'x,y,z'
loop_
_atom_site_label
_atom_site_type_symbol
_atom_site_fract_x
_atom_site_fract_y
_atom_site_fract_z
Al1 Al 0.0000 0.0000 0.0000
V1 V 0.3712 0.3712 0.0000
V2 V 0.6288 0.6288 0.0000
H1 H 0.0000 0.5000 0.5000
H2 H 0.1851 0.1851 0.0000
H3 H 0.5000 0.0000 0.5000
H4 H 0.8149 0.8149 0.0000
# SG: No. 139
# E above lowest polymorph: 43.00 kJ per mole of atoms

---

# MoW6 | Alexandria | PBE | optimized geometry
data_MoW6
_chemical_formula_sum 'Mo1 W6'
_space_group_name_H-M_alt 'P 1'
_space_group_IT_number 1
_cell_length_a 6.9408
_cell_length_b 6.9408
_cell_length_c 6.9408
_cell_angle_alpha 118.28
_cell_angle_beta 118.28
_cell_angle_gamma 118.28
loop_
_space_group_symop_operation_xyz
'x,y,z'
loop_
_atom_site_label
_atom_site_type_symbol
_atom_site_fract_x
_atom_site_fract_y
_atom_site_fract_z
Mo1 Mo 0.0000 0.0000 0.0000
W1 W 0.1421 0.5706 0.2849
W2 W 0.2849 0.1421 0.5706
W3 W 0.4294 0.7151 0.8579
W4 W 0.5706 0.2849 0.1421
W5 W 0.7151 0.8579 0.4294
W6 W 0.8579 0.4294 0.7151
# SG: No. 148
# DFT formation energy: -11 kJ/mol of formula units

---

# ZrSb2Ir | Alexandria | PBE | optimized geometry
data_ZrSb2Ir
_chemical_formula_sum 'Zr1 Sb2 Ir1'
_space_group_name_H-M_alt 'P 1'
_space_group_IT_number 1
_cell_length_a 3.1693
_cell_length_b 3.7195
_cell_length_c 6.8902
_cell_angle_alpha 90.00
_cell_angle_beta 90.00
_cell_angle_gamma 90.00
loop_
_space_group_symop_operation_xyz
'x,y,z'
loop_
_atom_site_label
_atom_site_type_symbol
_atom_site_fract_x
_atom_site_fract_y
_atom_site_fract_z
Zr1 Zr 0.0000 0.0000 0.0000
Sb1 Sb 0.5000 0.5000 0.2653
Sb2 Sb 0.5000 0.5000 0.7347
Ir1 Ir 0.0000 0.0000 0.5000
# SG: No. 47
# E above lowest polymorph: 28.14 kJ per mole of atoms
# energy relative to the elements, uncorrected: -29 kJ/mol of formula units

---

# Rb2VPBr | Alexandria | PBE | optimized geometry
data_Rb2VPBr
_chemical_formula_sum 'Rb2 V1 P1 Br1'
_space_group_name_H-M_alt 'P 1'
_space_group_IT_number 1
_cell_length_a 6.2933
_cell_length_b 6.2933
_cell_length_c 5.3012
_cell_angle_alpha 90.00
_cell_angle_beta 90.00
_cell_angle_gamma 90.00
loop_
_space_group_symop_operation_xyz
'x,y,z'
loop_
_atom_site_label
_atom_site_type_symbol
_atom_site_fract_x
_atom_site_fract_y
_atom_site_fract_z
Rb1 Rb 0.0000 0.5000 0.0000
Rb2 Rb 0.5000 0.0000 0.0000
V1 V 0.0000 0.0000 0.5000
P1 P 0.5000 0.5000 0.5000
Br1 Br 0.5000 0.5000 0.0000
# SG: No. 123
# energy relative to the elements, uncorrected: 322 kJ/mol of formula units

---

# LiCuSe | Alexandria | PBE | optimized geometry
data_LiCuSe
_chemical_formula_sum 'Li2 Cu2 Se2'
_space_group_name_H-M_alt 'P 1'
_space_group_IT_number 1
_cell_length_a 4.6037
_cell_length_b 4.6037
_cell_length_c 5.8272
_cell_angle_alpha 90.00
_cell_angle_beta 90.00
_cell_angle_gamma 98.64
loop_
_space_group_symop_operation_xyz
'x,y,z'
loop_
_atom_site_label
_atom_site_type_symbol
_atom_site_fract_x
_atom_site_fract_y
_atom_site_fract_z
Li1 Li 0.2500 0.2500 0.0000
Li2 Li 0.7500 0.7500 0.0000
Cu1 Cu 0.0000 0.5000 0.5000
Cu2 Cu 0.5000 0.0000 0.5000
Se1 Se 0.2500 0.7500 0.7964
Se2 Se 0.7500 0.2500 0.2036
# SG: No. 67
# energy relative to the elements, uncorrected: -177 kJ/mol of formula units

---

# Cs2CaI2Br2 | Alexandria | PBE | optimized geometry
data_Cs2CaI2Br2
_chemical_formula_sum 'Cs2 Ca1 I2 Br2'
_space_group_name_H-M_alt 'P 1'
_space_group_IT_number 1
_cell_length_a 10.0339
_cell_length_b 10.0339
_cell_length_c 10.0339
_cell_angle_alpha 143.84
_cell_angle_beta 143.84
_cell_angle_gamma 52.06
loop_
_space_group_symop_operation_xyz
'x,y,z'
loop_
_atom_site_label
_atom_site_type_symbol
_atom_site_fract_x
_atom_site_fract_y
_atom_site_fract_z
Cs1 Cs 0.1440 0.1440 0.0000
Cs2 Cs 0.8560 0.8560 0.0000
Ca1 Ca 0.5000 0.5000 0.0000
I1 I 0.0000 0.5000 0.5000
I2 I 0.5000 0.0000 0.5000
Br1 Br 0.3409 0.3409 0.0000
Br2 Br 0.6591 0.6591 0.0000
# SG: No. 139
# energy relative to the elements, uncorrected: -1162 kJ/mol of formula units

---

# CoOsCl2 | Alexandria | PBE | optimized geometry
data_CoOsCl2
_chemical_formula_sum 'Co1 Os1 Cl2'
_space_group_name_H-M_alt 'P 1'
_space_group_IT_number 1
_cell_length_a 3.0522
_cell_length_b 3.0522
_cell_length_c 7.9534
_cell_angle_alpha 90.00
_cell_angle_beta 90.00
_cell_angle_gamma 124.34
loop_
_space_group_symop_operation_xyz
'x,y,z'
loop_
_atom_site_label
_atom_site_type_symbol
_atom_site_fract_x
_atom_site_fract_y
_atom_site_fract_z
Co1 Co 0.0000 0.0000 0.0000
Os1 Os 0.0000 0.0000 0.5000
Cl1 Cl 0.5000 0.5000 0.2376
Cl2 Cl 0.5000 0.5000 0.7624
# SG: No. 65
# E above lowest polymorph: 64.53 kJ per mole of atoms
# energy relative to the elements, uncorrected: 330 kJ/mol of formula units

---

| no. | VASP energy (eV per cell) | DOS at the Fermi energy (states/eV per cell) |
| --- | --- | --- |
| 1 | -12.4 | 2.817 |
| 2 | -32.5 | 3.515 |
| 3 | -88.7 | 2.842 |
| 4 | -26.0 | 2.297 |
| 5 | -14.8 | 6.521 |
| 6 | -22.7 | 0.000 |
| 7 | -22.2 | 0.000 |
| 8 | -18.6 | 4.659 |